Crystalline MnCoBrF at its relaxed geometry, computed with GGA+U.

```
MnCoBrF
1.0
3.2864 0.0000 0.0000
0.0000 3.4283 0.0000
-1.6141 0.0000 8.1899
Mn Co Br F
1 1 1 1
direct
0.0000 0.0000 0.0000
0.3864 0.5000 0.7703
0.7817 0.5000 0.5570
0.5712 0.0000 0.1455
```

Output
ρ: 3.8 Mg/m³
E above lowest polymorph: 118.7 meV/atom